1.
A relaxed Ta3CoW crystal, computed with GGA-PBE.

relative energy among the computed polymorphs	0.0000	eV/atom
formation enthalpy at 0 K	0.952	eV per atom
total magnetization	0.00	μB per cell

Cell lengths 4.530, 4.530, 4.530 Å; angles 90.00, 90.00, 90.00 degrees
Space group Pm-3m (No. 221)
Asymmetric unit:
Ta 0.000 0.000 0.500 x3
Co 0.000 0.000 0.000 x1
W 0.500 0.500 0.500 x1

***

2.
A relaxed P2H7F2 crystal, computed with GGA-PBE.

DFT total energy	-42.4	eV for the cell shown
total magnetization	1.00	μB per cell

Cell lengths 4.506, 4.914, 6.760 Å; angles 90.30, 104.72, 96.40 degrees
Space group P1 (No. 1)
Asymmetric unit:
P 0.000 0.000 0.000 x1
P 0.424 0.549 0.470 x1
H 0.203 0.379 0.321 x1
H 0.326 0.109 0.060 x1
H 0.370 0.590 0.663 x1
H 0.618 0.334 0.535 x1
H 0.659 0.722 0.415 x1
H 0.733 0.833 0.035 x1
H 0.889 0.112 0.806 x1
F 0.113 0.710 0.928 x1
F 0.178 0.818 0.386 x1

***

3.
A relaxed TbPm4Tm crystal, computed with GGA-PBE.

relative energy among the computed polymorphs	0.1960	eV/atom
formation enthalpy at 0 K	0.263	eV per atom
total magnetization	0.00	μB per cell

Cell lengths 9.391, 9.391, 9.391 Å; angles 90.00, 90.00, 90.00 degrees
Space group F-43m (No. 216)
Asymmetric unit:
Tb 0.000 0.000 0.000 x4
Pm 0.125 0.125 0.375 x16
Tm 0.250 0.250 0.750 x4